A relaxed structure of BeGeO2, computed with GGA-PBE.

Structure (POSCAR):
```
BeGeO2
1.0
1.362 0.786 5.526
-1.362 0.786 5.526
0.000 -1.573 5.526
Be Ge O
1 1 2
direct
0.000 0.000 0.000
0.500 0.500 0.500
0.390 0.390 0.390
0.610 0.610 0.610
```

Properties
The energy above the lowest structure with this stoichiometry comes out at 72 meV/atom. The symmetry is R-3m, No. 166. The uncorrected formation energy is -5.78 eV/f.u. For the calculated total energy, the calculation gives -6.0091 eV per atom.